Here is a PBEsol-optimized structure of TeWCl2 from the Alexandria database. Energies are from SCAN.

Calculated values
Total DFT energy (no corrections) in eV/atom: -30.7696
Energy above the most stable polymorph in this dataset in eV/f.u.: 0.000
E_form (uncorrected) in eV/atom: -0.0459

POSCAR file:
```
TeWCl2
1.0
3.081 0.000 0.000
1.541 2.668 0.000
1.541 0.889 10.277
Cl Te W
2 1 1
direct
0.722 0.722 0.833 Cl
0.278 0.278 0.167 Cl
0.500 0.500 0.500 Te
0.000 0.000 0.000 W
```

***

Here is a PBEsol-optimized structure of ZnSi2WCl from the Alexandria database. Energies are from SCAN.

Calculated values
Total DFT energy (no corrections) in eV/atom: -20.5875
E_form (uncorrected) in eV/atom: 1.6550

POSCAR file:
```
ZnSi2WCl
1.0
-2.800 -0.399 -3.474
3.496 -0.422 -2.769
-0.084 -4.675 0.605
Si Zn Cl W
2 1 1 1
direct
0.500 0.000 0.000 Si
0.000 0.500 0.000 Si
0.000 0.000 0.000 Zn
0.000 0.000 0.500 Cl
0.500 0.500 0.500 W
```

***

Here is a PBEsol-optimized structure of FeRh2W from the Alexandria database. Energies are from SCAN.

Calculated values
Total DFT energy (no corrections) in eV/atom: -39.0580
Formation energy from the elements in eV per atom: -0.218
Energy above the most stable polymorph in this dataset in eV/f.u.: 0.000

POSCAR file:
```
FeRh2W
1.0
3.787 0.000 0.000
0.000 3.787 0.000
-1.893 -1.893 3.726
W Rh Fe
1 2 1
direct
0.000 0.000 0.000 W
0.750 0.250 0.500 Rh
0.250 0.750 0.500 Rh
0.500 0.500 0.000 Fe
```

***

Here is a PBEsol-optimized structure of La2OsBr from the Alexandria database. Energies are from SCAN.

Calculated values
Total DFT energy (no corrections) in eV/atom: -45.2996
Energy above the most stable polymorph in this dataset in eV/f.u.: 0.326
E_form (uncorrected) in eV/atom: -0.9123

POSCAR file:
```
La2OsBr
1.0
3.430 0.000 0.000
0.000 3.430 0.000
0.000 0.000 8.293
La Br Os
2 1 1
direct
0.000 0.000 0.714 La
0.000 0.000 0.286 La
0.500 0.500 0.000 Br
0.500 0.500 0.500 Os
```

***

Here is a PBEsol-optimized structure of AlNiMo2 from the Alexandria database. Energies are from SCAN.

Calculated values
Total DFT energy (no corrections) in eV/atom: -23.5059
Formation energy from the elements in eV per atom: -0.082

POSCAR file:
```
AlNiMo2
1.0
2.646 0.000 0.000
0.000 4.841 -0.021
0.000 -2.181 4.322
Mo Al Ni
2 1 1
direct
0.000 0.500 0.000 Mo
0.000 0.000 0.500 Mo
0.500 0.500 0.500 Al
0.500 0.000 0.000 Ni
```

***

Here is a PBEsol-optimized structure of TaCoW2 from the Alexandria database. Energies are from SCAN.

Calculated values
Total DFT energy (no corrections) in eV/atom: -55.3810
Formation energy from the elements in eV per atom: 0.435
Energy above the most stable polymorph in this dataset in eV/f.u.: 1.808

POSCAR file:
```
TaCoW2
1.0
-2.138 1.604 -0.109
-3.006 -3.992 0.237
1.296 2.027 4.386
W Co Ta
2 1 1
direct
0.000 0.500 0.000 W
0.000 0.000 0.500 W
0.500 0.000 0.000 Co
0.500 0.500 0.500 Ta
```

***

Here is a PBEsol-optimized structure of TaBe2Re from the Alexandria database. Energies are from SCAN.

Calculated values
Total DFT energy (no corrections) in eV/atom: -36.6034
Formation energy from the elements in eV per atom: -0.006
Energy above the most stable polymorph in this dataset in eV/f.u.: 1.626

POSCAR file:
```
TaBe2Re
1.0
3.523 0.000 0.000
0.000 3.523 0.000
-1.762 -1.762 4.031
Be Re Ta
2 1 1
direct
0.000 0.000 0.000 Be
0.750 0.250 0.500 Be
0.500 0.500 0.000 Re
0.250 0.750 0.500 Ta
```

***

Here is a PBEsol-optimized structure of Ca2SeBr from the Alexandria database. Energies are from SCAN.

Calculated values
Total DFT energy (no corrections) in eV/atom: -16.2729
Energy above the most stable polymorph in this dataset in eV/f.u.: 1.110
E_form (uncorrected) in eV/atom: -1.5567

POSCAR file:
```
Ca2SeBr
1.0
3.626 0.000 0.000
0.000 3.626 0.000
0.000 0.000 7.279
Se Ca Br
1 2 1
direct
0.500 0.500 0.000 Se
0.000 0.000 0.772 Ca
0.000 0.000 0.228 Ca
0.500 0.500 0.500 Br
```

***

Here is a PBEsol-optimized structure of YMoAs from the Alexandria database. Energies are from SCAN.

Calculated values
Total DFT energy (no corrections) in eV/atom: -27.2811
Formation energy from the elements in eV per atom: 0.358

POSCAR file:
```
YMoAs
1.0
-3.380 2.285 -1.764
-3.277 -2.146 -2.101
-4.040 -0.234 1.838
Mo Y As
1 1 1
direct
0.250 0.250 0.250 Mo
0.000 0.000 0.000 Y
0.500 0.500 0.500 As
```

***

Here is a PBEsol-optimized structure of TlReTe2N from the Alexandria database. Energies are from SCAN.

Calculated values
Total DFT energy (no corrections) in eV/atom: -45.2305
E_form (uncorrected) in eV/atom: 0.2193

POSCAR file:
```
TlReTe2N
1.0
-1.385 3.418 0.569
-3.070 -0.488 -4.540
-4.084 -2.154 2.993
N Tl Re Te
1 1 1 2
direct
0.500 0.000 0.000 N
0.500 0.500 0.500 Tl
0.000 0.000 0.000 Re
0.000 0.000 0.500 Te
0.000 0.500 0.000 Te
```

***

Here is a PBEsol-optimized structure of HfInIr2I from the Alexandria database. Energies are from SCAN.

Calculated values
Total DFT energy (no corrections) in eV/atom: -53.1684
E_form (uncorrected) in eV/atom: 1.8315

POSCAR file:
```
HfInIr2I
1.0
-4.017 -0.540 -2.561
1.219 -4.537 -0.954
-2.574 -1.612 4.378
Ir Hf In I
2 1 1 1
direct
0.000 0.500 0.000 Ir
0.500 0.000 0.000 Ir
0.500 0.500 0.500 Hf
0.000 0.000 0.500 In
0.000 0.000 0.000 I
```

***

Here is a PBEsol-optimized structure of ReRuRh3 from the Alexandria database. Energies are from SCAN.

Calculated values
Total DFT energy (no corrections) in eV/atom: -39.8024
Formation energy from the elements in eV per atom: 1.645

POSCAR file:
```
ReRuRh3
1.0
4.580 0.000 0.000
0.000 4.580 0.000
0.000 0.000 4.580
Rh Ru Re
3 1 1
direct
0.500 0.000 0.000 Rh
0.000 0.500 0.000 Rh
0.000 0.000 0.500 Rh
0.500 0.500 0.500 Ru
0.000 0.000 0.000 Re
```

***

Here is a PBEsol-optimized structure of MgPtSeBr2 from the Alexandria database. Energies are from SCAN.

Calculated values
Total DFT energy (no corrections) in eV/atom: -26.9555
E_form (uncorrected) in eV/atom: -0.1227

POSCAR file:
```
MgPtSeBr2
1.0
-4.701 1.695 -0.173
-1.225 -3.008 3.801
1.197 3.654 3.277
Br Pt Mg Se
2 1 1 1
direct
0.000 0.500 0.000 Br
0.500 0.000 0.000 Br
0.000 0.000 0.000 Pt
0.500 0.500 0.500 Mg
0.000 0.000 0.500 Se
```

***

Here is a PBEsol-optimized structure of Ag7PS6 from the Alexandria database. Energies are from SCAN.

Calculated values
Total DFT energy (no corrections) in eV/atom: -20.7473
E_form (uncorrected) in eV/atom: -0.1947

POSCAR file:
```
Ag7PS6
1.0
-9.797 0.501 2.905
2.701 -2.513 9.542
1.181 9.904 2.275
S Ag P
24 28 4
direct
0.212 0.712 0.788 S
0.521 0.479 0.979 S
0.021 0.021 0.021 S
0.142 0.132 0.627 S
0.632 0.873 0.858 S
0.634 0.634 0.634 S
0.368 0.373 0.642 S
0.858 0.632 0.873 S
0.627 0.142 0.132 S
0.873 0.858 0.632 S
0.866 0.366 0.134 S
0.288 0.288 0.288 S
0.979 0.521 0.479 S
0.373 0.642 0.368 S
0.712 0.788 0.212 S
0.788 0.212 0.712 S
0.134 0.866 0.366 S
0.642 0.368 0.373 S
0.132 0.627 0.142 S
0.127 0.358 0.868 S
0.366 0.134 0.866 S
0.868 0.127 0.358 S
0.358 0.868 0.127 S
0.479 0.979 0.521 S
0.490 0.491 0.221 Ag
0.926 0.904 0.235 Ag
0.426 0.596 0.765 Ag
0.509 0.721 0.010 Ag
0.074 0.404 0.265 Ag
0.155 0.155 0.155 Ag
0.404 0.265 0.074 Ag
0.510 0.991 0.279 Ag
0.491 0.221 0.490 Ag
0.596 0.765 0.426 Ag
0.735 0.574 0.096 Ag
0.991 0.279 0.510 Ag
0.765 0.426 0.596 Ag
0.235 0.926 0.904 Ag
0.221 0.490 0.491 Ag
0.096 0.735 0.574 Ag
0.845 0.655 0.345 Ag
0.009 0.779 0.990 Ag
0.265 0.074 0.404 Ag
0.721 0.010 0.509 Ag
0.345 0.845 0.655 Ag
0.904 0.235 0.926 Ag
0.779 0.990 0.009 Ag
0.279 0.510 0.991 Ag
0.655 0.345 0.845 Ag
0.010 0.509 0.721 Ag
0.990 0.009 0.779 Ag
0.574 0.096 0.735 Ag
0.751 0.751 0.751 P
0.251 0.749 0.249 P
0.749 0.249 0.251 P
0.249 0.251 0.749 P
```

***

Here is a PBEsol-optimized structure of BiAu2S from the Alexandria database. Energies are from SCAN.

Calculated values
Total DFT energy (no corrections) in eV/atom: -56.5322
E_form (uncorrected) in eV/atom: 0.0982

POSCAR file:
```
BiAu2S
1.0
6.299 0.159 0.231
-2.822 5.633 -0.231
-2.822 -2.245 5.172
Au S Bi
4 2 2
direct
0.956 0.581 0.125 Au
0.044 0.169 0.625 Au
0.544 0.375 0.419 Au
0.456 0.875 0.831 Au
0.500 0.250 0.750 S
0.000 0.500 0.500 S
0.000 0.000 0.000 Bi
0.500 0.750 0.250 Bi
```

***

Here is a PBEsol-optimized structure of Li2MgPd2 from the Alexandria database. Energies are from SCAN.

Calculated values
Total DFT energy (no corrections) in eV/atom: -15.4780
Formation energy from the elements in eV per atom: -0.418
Energy above the most stable polymorph in this dataset in eV/f.u.: 0.230

POSCAR file:
```
Li2MgPd2
1.0
-1.328 -2.619 -0.032
4.985 -2.473 -4.349
3.852 -2.021 5.564
Mg Pd Li
2 4 4
direct
0.000 0.000 0.000 Mg
0.000 0.500 0.500 Mg
0.000 0.857 0.643 Pd
0.000 0.357 0.857 Pd
0.000 0.643 0.143 Pd
0.000 0.143 0.357 Pd
0.500 0.347 0.153 Li
0.500 0.847 0.347 Li
0.500 0.653 0.847 Li
0.500 0.153 0.653 Li
```

***

Here is a PBEsol-optimized structure of InSbTe2C from the Alexandria database. Energies are from SCAN.

Calculated values
Total DFT energy (no corrections) in eV/atom: -29.0637
E_form (uncorrected) in eV/atom: 1.9861

POSCAR file:
```
InSbTe2C
1.0
-1.707 -4.907 -1.882
4.621 -2.375 2.002
-2.587 -0.955 4.837
In Sb C Te
1 1 1 2
direct
0.000 0.000 0.000 In
0.500 0.000 0.000 Sb
0.500 0.500 0.500 C
0.000 0.500 0.000 Te
0.000 0.000 0.500 Te
```

***

Here is a PBEsol-optimized structure of MgTa3Rh from the Alexandria database. Energies are from SCAN.

Calculated values
Total DFT energy (no corrections) in eV/atom: -46.7043
Formation energy from the elements in eV per atom: 0.995

POSCAR file:
```
MgTa3Rh
1.0
-2.807 0.985 3.749
-1.583 -4.516 0.001
3.538 -1.240 2.975
Rh Mg Ta
1 1 3
direct
0.000 0.000 0.000 Rh
0.500 0.500 0.500 Mg
0.500 0.000 0.000 Ta
0.000 0.000 0.500 Ta
0.000 0.500 0.000 Ta
```

***

Here is a PBEsol-optimized structure of LiZrMn2Ge from the Alexandria database. Energies are from SCAN.

Calculated values
Total DFT energy (no corrections) in eV/atom: -17.5162
Formation energy from the elements in eV per atom: 0.221

POSCAR file:
```
LiZrMn2Ge
1.0
4.223 0.000 0.000
0.000 4.467 0.000
0.000 0.000 4.467
Li Mn Ge Zr
1 2 1 1
direct
0.500 0.000 0.000 Li
0.000 0.000 0.500 Mn
0.000 0.500 0.000 Mn
0.000 0.000 0.000 Ge
0.500 0.500 0.500 Zr
```

***

Here is a PBEsol-optimized structure of FeAgSe2N from the Alexandria database. Energies are from SCAN.

Calculated values
Total DFT energy (no corrections) in eV/atom: -18.5539
E_form (uncorrected) in eV/atom: 1.2351

POSCAR file:
```
FeAgSe2N
1.0
-3.060 1.912 -1.301
-3.020 -3.677 1.698
-0.400 2.379 4.439
N Se Fe Ag
1 2 1 1
direct
0.500 0.000 0.000 N
0.000 0.500 0.000 Se
0.000 0.000 0.500 Se
0.500 0.500 0.500 Fe
0.000 0.000 0.000 Ag
```